Model i:
Density functional theory data (PBE) for a relaxed NaY3Hg crystal.

```
data_NaY3Hg
_symmetry_space_group_name_H-M 'P m -3 m'
_symmetry_Int_Tables_number 221
_symmetry_space_group_name_Hall '-P 4 2 3'
_cell_length_a 5.508
_cell_length_b 5.508
_cell_length_c 5.508
_cell_angle_alpha 90.00
_cell_angle_beta 90.00
_cell_angle_gamma 90.00
loop_
_atom_site_label
_atom_site_type_symbol
_atom_site_fract_x
_atom_site_fract_y
_atom_site_fract_z
_atom_site_occupancy
Na1 Na 0.000 0.000 0.000 1
Y1 Y 0.000 0.000 0.500 1
Hg1 Hg 0.500 0.500 0.500 1
```


Model ii:
Density functional theory data (PBE) for a relaxed NaY3Hg crystal.

```
data_NaY3Hg
_symmetry_space_group_name_H-M 'P m -3 m'
_symmetry_Int_Tables_number 221
_symmetry_space_group_name_Hall '-P 4 2 3'
_cell_length_a 5.754
_cell_length_b 5.754
_cell_length_c 5.754
_cell_angle_alpha 90.00
_cell_angle_beta 90.00
_cell_angle_gamma 90.00
loop_
_atom_site_label
_atom_site_type_symbol
_atom_site_fract_x
_atom_site_fract_y
_atom_site_fract_z
_atom_site_occupancy
Na1 Na 0.000 0.000 0.000 1
Y1 Y 0.000 0.500 0.500 1
Hg1 Hg 0.500 0.500 0.500 1
```


Relative stability in kJ/mol of atoms, measured from the most stable structure: model i 54.6; model ii 0.0